No. 1
Computed, not measured: a PBEsol-optimized structure of FeIO3 at the SCAN level of DFT.

## Properties
Total energy   -75.18 eV per cell
N(E_F)   4.281 states/eV/cell

Lattice parameters (Å, degrees): 3.795 3.795 3.795 90.00 90.00 90.00
Last column: magnetic moment on the atom in μB.
Fractional positions:
1 O 0.500 0.000 0.000  0.03
2 O 0.000 0.500 0.000  0.03
3 O 0.000 0.000 0.500  0.03
4 I 0.500 0.500 0.500  -0.30
5 Fe 0.000 0.000 0.000  2.94

---

No. 2
Computed, not measured: a PBEsol-optimized structure of FeIO2 at the SCAN level of DFT.

## Properties
Total energy   -66.52 eV per cell
N(E_F)   2.405 states/eV/cell

Lattice parameters (Å, degrees): 3.082 3.082 8.703 79.80 79.80 60.00
Last column: magnetic moment on the atom in μB.
Fractional positions:
1 O 0.938 0.938 0.186  -0.11
2 O 0.062 0.062 0.814  -0.11
3 I 0.500 0.500 0.500  -0.03
4 Fe 0.000 0.000 0.000  0.88

---

No. 3
Computed, not measured: a PBEsol-optimized structure of FeSI2O at the SCAN level of DFT.

## Properties
Total energy   -105.03 eV per cell
N(E_F)   2.663 states/eV/cell

Lattice parameters (Å, degrees): 3.534 5.459 5.459 90.00 90.00 90.00
Last column: magnetic moment on the atom in μB.
Fractional positions:
1 O 0.500 0.000 0.000  -0.02
2 S 0.000 0.000 0.000  -0.03
3 I 0.000 0.500 0.000  0.02
4 I 0.000 0.000 0.500  0.02
5 Fe 0.500 0.500 0.500  3.09